Record 1
Material: KNbV2
Method: DFT, PBE
State: optimized geometry

Unit cell a=4.792 b=4.792 c=4.792 alpha=60.00 beta=60.00 gamma=60.00
Positions (direct):
K: 0.000 0.000 0.000
Nb: 0.500 0.500 0.500
V: 0.250 0.250 0.250
V: 0.750 0.750 0.750

Properties
Space group = Fm-3m
Distance to the lowest polymorph of the same formula = 0 meV/atom


Record 2
Material: GeH2N
Method: DFT, PBE
State: optimized geometry

Unit cell a=4.427 b=4.427 c=4.427 alpha=60.00 beta=60.00 gamma=60.00
Positions (direct):
Ge: 0.125 0.125 0.125
Ge: 0.875 0.875 0.875
H: 0.000 0.500 0.500
H: 0.500 0.000 0.500
H: 0.500 0.500 0.000
H: 0.500 0.500 0.500
N: 0.375 0.375 0.375
N: 0.625 0.625 0.625

Properties
Space group = Fd-3m
Distance to the lowest polymorph of the same formula = 0 meV/atom


Record 3
Material: LiTm2Ga3Pt4
Method: DFT, PBE
State: optimized geometry

Unit cell a=3.967 b=3.967 c=11.591 alpha=90.00 beta=90.00 gamma=90.00
Positions (direct):
Li: 0.000 0.000 0.000
Tm: 0.000 0.500 0.756
Tm: 0.500 0.000 0.244
Ga: 0.000 0.500 0.366
Ga: 0.500 0.000 0.634
Ga: 0.500 0.500 0.000
Pt: 0.000 0.000 0.500
Pt: 0.000 0.500 0.151
Pt: 0.500 0.000 0.849
Pt: 0.500 0.500 0.500

Properties
Space group = P-4m2


Record 4
Material: TaHAu
Method: DFT, PBE
State: optimized geometry

Unit cell a=5.164 b=2.972 c=5.439 alpha=90.00 beta=110.81 gamma=90.00
Positions (direct):
Ta: 0.013 0.250 0.262
Ta: 0.987 0.750 0.738
H: 0.139 0.250 0.968
H: 0.861 0.750 0.032
Au: 0.484 0.250 0.729
Au: 0.516 0.750 0.271

Properties
Space group = P2_1/m
Distance to the lowest polymorph of the same formula = 57 meV/atom


| no. | E_tot (eV/atom) |
| --- | --- |
| 1 | -5.888 |
| 2 | -4.296 |
| 3 | -5.334 |
| 4 | -6.146 |